1.
Ho5Tl2Pb2: relaxed, GGA-PBE.

Output
- Calculated volume: 29.1 Å³/atom
- Space group: Cmce, No. 64
- Fermi-level density of states: 11.6 states/eV/cell
- Total energy: -4.31 eV/atom
- Magnetic moment: 0.0 μB per formula unit

a = 8.095 Å, b = 8.200 Å, c = 8.882 Å
α = 117.49°, β = 90.00°, γ = 90.00°
Element x y z (fractional)
Ho (0.330, 0.964, 0.274)
Ho (0.170, 0.464, 0.274)
Ho (0.500, 0.500, 0.000)
Ho (0.170, 0.190, 0.726)
Ho (0.330, 0.690, 0.726)
Ho (0.670, 0.310, 0.274)
Ho (0.670, 0.036, 0.726)
Ho (0.830, 0.536, 0.726)
Ho (0.830, 0.810, 0.274)
Ho (0.000, 0.000, 0.000)
Pb (0.500, 0.292, 0.583)
Pb (0.000, 0.792, 0.583)
Pb (0.500, 0.708, 0.417)
Pb (0.000, 0.208, 0.417)
Tl (0.869, 0.369, 0.000)
Tl (0.131, 0.631, 0.000)
Tl (0.631, 0.869, 0.000)
Tl (0.369, 0.131, 0.000)

***

2.
Sm5ErTm2: relaxed, GGA-PBE.

Output
- Calculated volume: 32.7 Å³/atom
- Space group: I4/mcm, No. 140
- Fermi-level density of states: 18.7 states/eV/cell
- Total energy: -4.53 eV/atom
- Magnetic moment: 0.3 μB per formula unit

a = 9.128 Å, b = 9.128 Å, c = 9.000 Å
α = 120.47°, β = 120.47°, γ = 90.00°
Element x y z (fractional)
Er (0.750, 0.750, 0.500)
Er (0.250, 0.250, 0.500)
Sm (0.186, 0.987, 0.673)
Sm (0.013, 0.513, 0.327)
Sm (0.000, 0.000, 0.000)
Sm (0.987, 0.487, 0.673)
Sm (0.686, 0.186, 0.673)
Sm (0.513, 0.314, 0.327)
Sm (0.314, 0.814, 0.327)
Sm (0.814, 0.013, 0.327)
Sm (0.487, 0.686, 0.673)
Sm (0.500, 0.500, 0.000)
Tm (0.355, 0.855, 0.000)
Tm (0.855, 0.645, 0.000)
Tm (0.645, 0.145, 0.000)
Tm (0.145, 0.355, 0.000)